No. 1
Ca2ReIr2 | PBE-GGA | optimized geometry

Values from the calculation:
Energy relative to the elements ... -127 meV/atom
Space-group type ... P4/mbm, No. 127
N(E_F) ... 8.60 states/eV/cell
VASP energy ... -6.96 eV per atom
Density ... 10.5 g cm⁻³

Lattice parameters (Å, degrees): 6.5471 6.5471 4.8174 90.00 90.00 90.00
Closest atoms and distances in Å follow each position.
Atoms (fractional coordinates):
Ca 0.1796 0.3204 0.0000  6 Ir 2.95-3.19
Ca 0.3204 0.8204 0.0000  6 Ir 2.95-3.19
Ca 0.6796 0.1796 0.0000  6 Ir 2.95-3.19
Ca 0.8204 0.6796 0.0000  6 Ir 2.95-3.19
Re 0.0000 0.0000 0.5000  4 Ir 2.54
Re 0.5000 0.5000 0.5000  4 Ir 2.54
Ir 0.1372 0.6372 0.5000  2 Re 2.54, 1 Ir 2.54
Ir 0.3628 0.1372 0.5000  2 Re 2.54, 1 Ir 2.54
Ir 0.6372 0.8628 0.5000  2 Re 2.54, 1 Ir 2.54
Ir 0.8628 0.3628 0.5000  2 Re 2.54, 1 Ir 2.54

---

No. 2
TlCdGe2 | PBE-GGA | optimized geometry

Values from the calculation:
Energy relative to the elements ... 320 meV/atom
Space-group type ... Fm-3m, No. 225
N(E_F) ... 2.63 states/eV/cell
VASP energy ... -2.81 eV per atom
Density ... 8.3 g cm⁻³

Lattice parameters (Å, degrees): 5.0835 5.0835 5.0835 60.00 60.00 60.00
Closest atoms and distances in Å follow each position.
Atoms (fractional coordinates):
Tl 0.0000 0.0000 0.0000  8 Ge 3.11
Cd 0.5000 0.5000 0.5000  8 Ge 3.11
Ge 0.2500 0.2500 0.2500  4 Cd 3.11, 4 Tl 3.11
Ge 0.7500 0.7500 0.7500  4 Cd 3.11, 4 Tl 3.11

---

Question: Among the records above, which one has the highest VASP energy?
Answer: TlCdGe2

---

Question: VASP energy of number 2 (TlCdGe2)?
Answer: -2.81 eV per atom

---

Repeat the first record exactly.
Ca2ReIr2 | PBE-GGA | optimized geometry

Values from the calculation:
Energy relative to the elements ... -127 meV/atom
Space-group type ... P4/mbm, No. 127
N(E_F) ... 8.60 states/eV/cell
VASP energy ... -6.96 eV per atom
Density ... 10.5 g cm⁻³

Lattice parameters (Å, degrees): 6.5471 6.5471 4.8174 90.00 90.00 90.00
Closest atoms and distances in Å follow each position.
Atoms (fractional coordinates):
Ca 0.1796 0.3204 0.0000  6 Ir 2.95-3.19
Ca 0.3204 0.8204 0.0000  6 Ir 2.95-3.19
Ca 0.6796 0.1796 0.0000  6 Ir 2.95-3.19
Ca 0.8204 0.6796 0.0000  6 Ir 2.95-3.19
Re 0.0000 0.0000 0.5000  4 Ir 2.54
Re 0.5000 0.5000 0.5000  4 Ir 2.54
Ir 0.1372 0.6372 0.5000  2 Re 2.54, 1 Ir 2.54
Ir 0.3628 0.1372 0.5000  2 Re 2.54, 1 Ir 2.54
Ir 0.6372 0.8628 0.5000  2 Re 2.54, 1 Ir 2.54
Ir 0.8628 0.3628 0.5000  2 Re 2.54, 1 Ir 2.54

---

Question: Number 2 is which compound?
Answer: TlCdGe2